A relaxed structure of CeEu2Zn, computed with PBE-GGA.

Values from the calculation:
* VASP energy: -6.848 eV per atom
* size of the total moment: 16.65 Bohr magnetons per cell
* ΔE to the lowest computed polymorph: 0.085 eV/atom
* symmetry: P4/mmm (123)
* calculated formation energy: 92 meV per atom

Lattice parameters (Å, degrees): 4.7543 5.0082 5.0082 90.00 90.00 90.00
Closest atoms and distances in Å follow each position.
Element x y z (fractional)
Ce 0.5000 0.5000 0.5000  8 Eu 3.45, 4 Zn 3.54
Zn 0.5000 0.0000 0.0000  8 Eu 3.45, 4 Ce 3.54
Eu 0.0000 0.5000 0.0000  4 Ce 3.45, 4 Zn 3.45, 4 Eu 3.54
Eu 0.0000 0.0000 0.5000  4 Ce 3.45, 4 Zn 3.45, 4 Eu 3.54

***

A relaxed structure of CeF4, computed with PBE-GGA.

Values from the calculation:
* uncorrected formation energy: -3.319 eV/atom
* VASP energy: -6.003 eV per atom
* size of the total moment: 0.69 Bohr magnetons per cell
* ΔE to the lowest computed polymorph: 0.402 eV/atom
* symmetry: Pm-3m (221)

Lattice parameters (Å, degrees): 4.4395 4.4395 4.4395 90.00 90.00 90.00
Closest atoms and distances in Å follow each position.
Element x y z (fractional)
F 0.5000 0.0000 0.5000  2 Ce 2.22
F 0.0000 0.5000 0.5000  2 Ce 2.22
F 0.0000 0.0000 0.0000  12 F 3.14
Ce 0.5000 0.5000 0.5000  6 F 2.22
F 0.5000 0.5000 0.0000  2 Ce 2.22

***

A relaxed structure of CeF4, computed with PBE-GGA.

Values from the calculation:
* uncorrected formation energy: -3.674 eV/atom
* VASP energy: -6.358 eV per atom
* size of the total moment: 0.00 Bohr magnetons per cell
* ΔE to the lowest computed polymorph: 0.048 eV/atom
* symmetry: C2/c (15)

Lattice parameters (Å, degrees): 6.0910 5.7714 6.0237 73.79 59.63 56.49
Closest atoms and distances in Å follow each position.
Element x y z (fractional)
F 0.7490 0.1733 0.0339  2 Ce 2.26-2.33, 1 F 2.44
Ce 0.8752 0.7500 0.2496  8 F 2.23-2.35
F 0.2510 0.8267 0.9661  2 Ce 2.26-2.33, 1 F 2.44
F 0.1920 0.5590 0.4437  2 Ce 2.23-2.35
F 0.7829 0.6733 0.9661  2 Ce 2.26-2.33, 1 F 2.44
F 0.6356 0.0590 0.5563  2 Ce 2.23-2.35
F 0.2171 0.3267 0.0339  2 Ce 2.26-2.33, 1 F 2.44
Ce 0.1248 0.2500 0.7504  8 F 2.23-2.35
F 0.8080 0.4410 0.5563  2 Ce 2.23-2.35
F 0.3644 0.9410 0.4437  2 Ce 2.23-2.35

***

Q: Which of these has the lowest VASP energy?
A: CeEu2Zn

***

Q: Among the records above, which one has the highest size of the total moment?
A: CeEu2Zn

***

Q: Which of these has the lowest VASP energy?
A: CeEu2Zn